[1]
VASP calculation (PBE) on a relaxed structure of CrCu2Cl.

Lattice parameters (Å, degrees): 3.5406 3.5406 5.1354 90.00 90.00 90.00
Space group P4/mmm (No. 123)
One atom of each set of equivalent atoms:
Cr (0.0000, 0.0000, 0.0000) x1
Cu (0.0000, 0.5000, 0.5000) x2
Cl (0.5000, 0.5000, 0.0000) x1

* crystal system: tetragonal
* ΔE_f (raw): 0.37 eV per atom
* size of the total moment: 4.5 Bohr magnetons per cell
* total energy: -4.543 eV per atom

[2]
VASP calculation (PBE) on a relaxed structure of TlCdBrF2.

Lattice parameters (Å, degrees): 4.5580 4.5580 5.5890 90.00 90.00 90.00
Space group P4/mmm (No. 123)
One atom of each set of equivalent atoms:
Tl (0.0000, 0.0000, 0.0000) x1
Cd (0.5000, 0.5000, 0.5000) x1
Br (0.5000, 0.5000, 0.0000) x1
F (0.0000, 0.5000, 0.5000) x2

* crystal system: tetragonal
* ΔE_f (raw): -1.57 eV per atom
* size of the total moment: 0.0 Bohr magnetons per cell
* total energy: -3.309 eV per atom

[3]
VASP calculation (PBE) on a relaxed structure of TcPt2F.

Lattice parameters (Å, degrees): 6.1542 6.1542 6.1542 90.00 90.00 90.00
Space group Fm-3m (No. 225)
One atom of each set of equivalent atoms:
Tc (0.0000, 0.0000, 0.0000) x4
Pt (0.2500, 0.2500, 0.2500) x8
F (0.0000, 0.0000, 0.5000) x4

* crystal system: cubic
* ΔE_f (raw): 0.13 eV per atom
* size of the total moment: 7.0 Bohr magnetons per cell
* total energy: -5.948 eV per atom

[4]
VASP calculation (PBE) on a relaxed structure of Hf2ScCu2.

Lattice parameters (Å, degrees): 3.9834 3.9834 12.7304 90.00 90.00 90.00
Space group I4/mmm (No. 139)
One atom of each set of equivalent atoms:
Hf (0.0000, 0.0000, 0.1150) x4
Sc (0.0000, 0.0000, 0.5000) x2
Cu (0.0000, 0.5000, 0.2500) x4

* crystal system: tetragonal
* formation energy from the elements: 0.319 eV/atom
* size of the total moment: 1.4 Bohr magnetons per cell
* total energy: -6.567 eV per atom

[5]
VASP calculation (PBE) on a relaxed structure of Tl5CdIn6.

Lattice parameters (Å, degrees): 11.4712 10.5866 5.8003 90.00 105.87 90.00
Space group C2/m (No. 12)
One atom of each set of equivalent atoms:
Tl (0.0000, 0.0000, 0.0000) x2
Tl (0.0000, 0.1693, 0.5000) x4
Tl (0.0000, 0.3360, 0.0000) x4
Cd (0.0000, 0.5000, 0.5000) x2
In (0.2449, 0.3367, 0.7474) x8
In (0.2502, 0.0000, 0.7452) x4

* crystal system: monoclinic
* formation energy from the elements: 0.029 eV/atom
* size of the total moment: 0.0 Bohr magnetons per cell
* total energy: -2.402 eV per atom

[6]
VASP calculation (PBE) on a relaxed structure of Li2YCu.

Lattice parameters (Å, degrees): 4.1049 4.1049 9.3656 90.00 90.00 90.00
Space group I4/mmm (No. 139)
One atom of each set of equivalent atoms:
Li (0.0000, 0.5000, 0.2500) x4
Y (0.0000, 0.0000, 0.0000) x2
Cu (0.0000, 0.0000, 0.5000) x2

* crystal system: tetragonal
* formation energy from the elements: 0.065 eV/atom
* size of the total moment: 0.0 Bohr magnetons per cell
* total energy: -3.532 eV per atom

[7]
VASP calculation (PBE) on a relaxed structure of CeMgAlSn.

Lattice parameters (Å, degrees): 4.4370 4.5984 4.6346 90.00 90.00 90.00
Space group Pmmm (No. 47)
One atom of each set of equivalent atoms:
Ce (0.0000, 0.0000, 0.0000) x1
Mg (0.0000, 0.5000, 0.5000) x1
Al (0.5000, 0.5000, 0.0000) x1
Sn (0.5000, 0.0000, 0.5000) x1

* crystal system: orthorhombic
* formation energy from the elements: -0.387 eV/atom
* size of the total moment: 0.6 Bohr magnetons per cell
* total energy: -4.206 eV per atom

[8]
VASP calculation (PBE) on a relaxed structure of BeP2Se.

Lattice parameters (Å, degrees): 5.0105 7.2427 3.3971 90.00 90.00 90.00
Space group Cmmm (No. 65)
One atom of each set of equivalent atoms:
Be (0.0000, 0.0000, 0.0000) x2
P (0.2500, 0.2500, 0.5000) x4
Se (0.0000, 0.5000, 0.0000) x2

* crystal system: orthorhombic
* ΔE_f (raw): 0.78 eV per atom
* size of the total moment: 0.0 Bohr magnetons per cell
* total energy: -3.727 eV per atom